[1]
A plane-wave DFT calculation with PBE was carried out for a geometry-optimized YBeIr structure.

a b c (Å): 4.5030 4.5030 4.5030
angles (deg): 60.00 60.00 60.00
With the nearest neighbours (Å) after each atom.
Element x y z (fractional)
Y 0.0000 0.0000 0.0000  4 Be 2.76, 4 Ir 2.76
Be 0.7500 0.7500 0.7500  4 Y 2.76
Ir 0.2500 0.2500 0.2500  4 Y 2.76

Computed properties:
As for the crystal system: cubic. The symmetry is F-43m (216). For the formation energy, the calculation gives 0.55 eV/atom.

=====

[2]
A plane-wave DFT calculation with PBE was carried out for a geometry-optimized Tb12Dy3Y structure.

a b c (Å): 5.0343 5.0343 20.1182
angles (deg): 90.00 90.00 90.00
With the nearest neighbours (Å) after each atom.
Element x y z (fractional)
Tb 0.0000 0.0000 0.0000  8 Tb 3.56, 4 Dy 3.56
Tb 0.0000 0.0000 0.2497  8 Tb 3.55-3.56, 4 Dy 3.56
Tb 0.0000 0.0000 0.5000  4 Y 3.56, 8 Tb 3.57
Tb 0.0000 0.0000 0.7503  8 Tb 3.55-3.56, 4 Dy 3.56
Tb 0.0000 0.5000 0.1248  8 Tb 3.56, 4 Dy 3.56
Tb 0.0000 0.5000 0.3744  2 Dy 3.55, 8 Tb 3.55-3.57, 2 Y 3.57
Tb 0.0000 0.5000 0.6256  2 Dy 3.55, 8 Tb 3.55-3.57, 2 Y 3.57
Tb 0.0000 0.5000 0.8752  8 Tb 3.56, 4 Dy 3.56
Tb 0.5000 0.0000 0.1248  8 Tb 3.56, 4 Dy 3.56
Tb 0.5000 0.0000 0.3744  2 Dy 3.55, 8 Tb 3.55-3.57, 2 Y 3.57
Tb 0.5000 0.0000 0.6256  2 Dy 3.55, 8 Tb 3.55-3.57, 2 Y 3.57
Tb 0.5000 0.0000 0.8752  8 Tb 3.56, 4 Dy 3.56
Dy 0.5000 0.5000 0.0000  12 Tb 3.56
Dy 0.5000 0.5000 0.2497  12 Tb 3.55-3.56
Dy 0.5000 0.5000 0.7503  12 Tb 3.55-3.56
Y 0.5000 0.5000 0.5000  12 Tb 3.56-3.57

Computed properties:
As for the crystal system: tetragonal. The symmetry is P4/mmm (123). For the formation energy, the calculation gives 0.02 eV/atom.

=====

[3]
A plane-wave DFT calculation with PBE was carried out for a geometry-optimized Pm4AgAu3 structure.

a b c (Å): 3.8527 4.8019 11.2887
angles (deg): 90.00 90.00 90.00
With the nearest neighbours (Å) after each atom.
Element x y z (fractional)
Pm 0.0000 0.0000 0.0000  6 Au 3.13-3.16, 1 Ag 3.19
Pm 0.0000 0.5000 0.2730  7 Au 3.13-3.18
Pm 0.5000 0.0000 0.4942  5 Au 3.07-3.15, 2 Ag 3.17
Pm 0.5000 0.5000 0.7740  3 Au 3.11-3.16, 4 Ag 3.14
Ag 0.0000 0.0000 0.7177  2 Au 3.05, 7 Pm 3.14-3.19
Au 0.0000 0.5000 0.5516  2 Ag 3.05, 7 Pm 3.14-3.16
Au 0.5000 0.0000 0.2218  7 Pm 3.07-3.16, 2 Au 3.09
Au 0.5000 0.5000 0.0491  2 Au 3.09, 7 Pm 3.11-3.18

Computed properties:
As for the crystal system: orthorhombic. The symmetry is Pmm2 (25). For the formation energy, the calculation gives -0.68 eV/atom.

=====

[4]
A plane-wave DFT calculation with PBE was carried out for a geometry-optimized NbV3H4 structure.

a b c (Å): 6.5709 4.5420 4.6094
angles (deg): 90.00 90.00 90.00
With the nearest neighbours (Å) after each atom.
Element x y z (fractional)
Nb 0.0000 0.2501 0.0000  4 H 1.94-1.96
Nb 0.5000 0.7499 0.5000  4 H 1.94-1.96
V 0.0000 0.7504 0.5010  4 H 1.77-1.79
V 0.2494 0.2457 0.5013  4 H 1.78-1.79
V 0.2506 0.7543 0.0013  4 H 1.78-1.79
V 0.5000 0.2496 0.0010  4 H 1.77-1.79
V 0.7494 0.7543 0.0013  4 H 1.78-1.79
V 0.7506 0.2457 0.5013  4 H 1.78-1.79
H 0.0000 0.1286 0.4044  3 V 1.77-1.78, 1 Nb 1.94
H 0.0000 0.8376 0.8786  3 V 1.78-1.79, 1 Nb 1.96
H 0.2353 0.6133 0.3627  3 V 1.78-1.79, 1 Nb 1.95
H 0.2647 0.3866 0.8627  3 V 1.78-1.79, 1 Nb 1.95
H 0.5000 0.1624 0.3786  3 V 1.78-1.79, 1 Nb 1.96
H 0.5000 0.8714 0.9044  3 V 1.77-1.78, 1 Nb 1.94
H 0.7353 0.3866 0.8627  3 V 1.78-1.79, 1 Nb 1.95
H 0.7647 0.6133 0.3627  3 V 1.78-1.79, 1 Nb 1.95

Computed properties:
As for the crystal system: orthorhombic. The symmetry is Pmn2_1 (31).

=====

[5]
A plane-wave DFT calculation with PBE was carried out for a geometry-optimized SrLiP2S structure.

a b c (Å): 4.4583 4.4583 5.0370
angles (deg): 90.00 90.00 90.00
With the nearest neighbours (Å) after each atom.
Element x y z (fractional)
Sr 0.0000 0.0000 0.0000  4 S 3.15, 8 P 3.36
Li 0.5000 0.5000 0.5000  4 P 2.23
P 0.0000 0.5000 0.5000  2 Li 2.23
P 0.5000 0.0000 0.5000  2 Li 2.23
S 0.5000 0.5000 0.0000  2 Li 2.52

Computed properties:
As for the energy relative to the elements, uncorrected: -198 meV per atom. As for the crystal system: tetragonal. The symmetry is P4/mmm (123).

=====

[6]
A plane-wave DFT calculation with PBE was carried out for a geometry-optimized Tb6Sm4Th structure.

a b c (Å): 5.6275 5.6275 25.8147
angles (deg): 90.00 90.00 117.71
With the nearest neighbours (Å) after each atom.
Element x y z (fractional)
Tb 0.0000 0.0000 0.0000  8 Sm 3.18-3.53
Tb 0.0000 0.0000 0.5000  8 Sm 3.18-3.53
Tb 0.0427 0.9573 0.7500  3 Th 3.25-3.30, 2 Sm 3.30, 2 Tb 3.62
Tb 0.3024 0.6976 0.1027  6 Sm 3.31-3.71
Tb 0.3024 0.6976 0.3973  6 Sm 3.31-3.71
Tb 0.3729 0.6271 0.6832  5 Tb 3.45-3.76, 4 Sm 3.55-3.69, 3 Th 3.63-3.75
Tb 0.3729 0.6271 0.8168  5 Tb 3.45-3.76, 4 Sm 3.55-3.69, 3 Th 3.63-3.75
Tb 0.6271 0.3729 0.1832  5 Tb 3.45-3.76, 4 Sm 3.55-3.69, 3 Th 3.63-3.75
Tb 0.6271 0.3729 0.3168  5 Tb 3.45-3.76, 4 Sm 3.55-3.69, 3 Th 3.63-3.75
Tb 0.6976 0.3024 0.6027  6 Sm 3.31-3.71
Tb 0.6976 0.3024 0.8973  6 Sm 3.31-3.71
Tb 0.9573 0.0427 0.2500  3 Th 3.25-3.30, 2 Sm 3.30, 2 Tb 3.62
Sm 0.0428 0.9572 0.6223  6 Tb 3.18-3.55
Sm 0.0428 0.9572 0.8777  6 Tb 3.18-3.55
Sm 0.3479 0.6521 0.5429  8 Tb 3.44-3.79, 2 Sm 3.58-3.67
Sm 0.3479 0.6521 0.9571  8 Tb 3.44-3.79, 2 Sm 3.58-3.67
Sm 0.6521 0.3479 0.0429  8 Tb 3.44-3.79, 2 Sm 3.58-3.67
Sm 0.6521 0.3479 0.4571  8 Tb 3.44-3.79, 2 Sm 3.58-3.67
Sm 0.9572 0.0428 0.1223  6 Tb 3.18-3.55
Sm 0.9572 0.0428 0.3777  6 Tb 3.18-3.55
Th 0.2951 0.7049 0.2500  5 Tb 3.25-3.63
Th 0.7049 0.2951 0.7500  5 Tb 3.25-3.63

Computed properties:
As for the crystal system: orthorhombic. The symmetry is Cmcm (63). For the formation energy, the calculation gives 0.14 eV/atom.

=====

| no. | electronic total energy (eV per formula unit) |
| --- | --- |
| 1 | -17.40 |
| 2 | -75.56 |
| 3 | -37.12 |
| 4 | -52.32 |
| 5 | -19.53 |
| 6 | -52.55 |